No. 1
The following is a DFT calculation (PBE) of BaCd3Pb3 after structural relaxation.

Results
Excess energy over the best structure of this formula in the dataset ... 0.000 eV per atom
Formation energy ... -0.14 eV per atom
Space-group type ... R-3 (148)
Magnetic moment ... 0.000 μB/atom
N(E_F) ... 5.39 states/eV/cell

a = 7.296 Å, b = 7.296 Å, c = 10.511 Å
α = 69.69°, β = 69.69°, γ = 60.00°
Element x y z (fractional)
Ba: 0.300 0.300 0.100
Ba: 0.700 0.700 0.900
Cd: 0.612 0.753 0.565
Cd: 0.753 0.070 0.565
Cd: 0.070 0.612 0.565
Cd: 0.930 0.388 0.435
Cd: 0.247 0.930 0.435
Cd: 0.388 0.247 0.435
Pb: 0.261 0.724 0.226
Pb: 0.789 0.261 0.226
Pb: 0.724 0.789 0.226
Pb: 0.276 0.211 0.774
Pb: 0.211 0.739 0.774
Pb: 0.739 0.276 0.774


No. 2
The following is a DFT calculation (PBE) of Tb3Pm2Sn4 after structural relaxation.

Results
Excess energy over the best structure of this formula in the dataset ... 0.000 eV per atom
Formation energy ... -0.79 eV per atom
Space-group type ... P2_1/c (14)
Magnetic moment ... 0.000 μB/atom
N(E_F) ... 13.93 states/eV/cell

a = 8.048 Å, b = 8.369 Å, c = 8.354 Å
α = 90.00°, β = 90.00°, γ = 110.67°
Element x y z (fractional)
Tb: 0.000 0.500 0.500
Tb: 0.500 0.500 0.000
Tb: 0.739 0.246 0.832
Tb: 0.761 0.754 0.332
Tb: 0.261 0.754 0.168
Tb: 0.239 0.246 0.668
Pm: 0.562 0.193 0.321
Pm: 0.938 0.807 0.821
Pm: 0.438 0.807 0.679
Pm: 0.062 0.193 0.179
Sn: 0.837 0.082 0.538
Sn: 0.663 0.918 0.038
Sn: 0.163 0.918 0.462
Sn: 0.337 0.082 0.962
Sn: 0.864 0.487 0.135
Sn: 0.636 0.513 0.635
Sn: 0.136 0.513 0.865
Sn: 0.364 0.487 0.365


No. 3
The following is a DFT calculation (PBE) of Tb3SbSeN after structural relaxation.

Results
Space-group type ... P2_1/m (11)
Magnetic moment ... 0.000 μB/atom
N(E_F) ... 4.76 states/eV/cell
DFT total energy ... -76.5 eV/cell

a = 4.108 Å, b = 8.700 Å, c = 9.114 Å
α = 99.67°, β = 90.00°, γ = 90.00°
Element x y z (fractional)
Tb: 0.250 0.845 0.491
Tb: 0.750 0.893 0.161
Tb: 0.750 0.408 0.153
Tb: 0.750 0.155 0.509
Tb: 0.250 0.592 0.847
Tb: 0.250 0.107 0.839
Sb: 0.750 0.830 0.792
Sb: 0.250 0.170 0.208
Se: 0.250 0.647 0.163
Se: 0.750 0.353 0.837
N: 0.250 0.094 0.599
N: 0.750 0.906 0.401


No. 4
The following is a DFT calculation (PBE) of LuPu4Th after structural relaxation.

Results
Formation energy ... 0.21 eV per atom
Space-group type ... F-43m (216)
Magnetic moment ... 3.766 μB/atom
N(E_F) ... 24.91 states/eV/cell

a = 6.135 Å, b = 6.135 Å, c = 6.135 Å
α = 60.00°, β = 60.00°, γ = 60.00°
Last column: magnetic moment on the atom in μB.
Element x y z (fractional)
Lu: 0.000 0.000 0.000  0.12
Th: 0.250 0.250 0.250  0.06
Pu: 0.625 0.625 0.126  5.32
Pu: 0.625 0.126 0.625  5.32
Pu: 0.625 0.625 0.625  5.32
Pu: 0.126 0.625 0.625  5.32


No. 5
The following is a DFT calculation (PBE) of Sc2InGeBi after structural relaxation.

Results
Formation energy ... 0.02 eV per atom
Space-group type ... P4/mmm (123)
Magnetic moment ... 0.000 μB/atom
N(E_F) ... 2.26 states/eV/cell

a = 5.119 Å, b = 5.521 Å, c = 5.119 Å
α = 90.00°, β = 90.00°, γ = 90.00°
Element x y z (fractional)
Sc: 0.000 0.000 0.500
Sc: 0.500 0.000 0.000
Ge: 0.000 0.000 0.000
Bi: 0.000 0.500 0.000
In: 0.500 0.500 0.500


No. 6
The following is a DFT calculation (PBE) of U2BeNi4P3 after structural relaxation.

Results
Formation energy ... -0.71 eV per atom
Space-group type ... P-4m2 (115)
Magnetic moment ... 0.326 μB/atom
N(E_F) ... 14.75 states/eV/cell

a = 3.860 Å, b = 3.860 Å, c = 9.263 Å
α = 90.00°, β = 90.00°, γ = 90.00°
Last column: magnetic moment on the atom in μB.
Element x y z (fractional)
U: 0.500 0.000 0.255  1.64
U: 0.000 0.500 0.745  1.64
Be: 0.500 0.500 0.500  -0.01
Ni: 0.500 0.500 0.000  -0.05
Ni: 0.000 0.000 0.000  -0.07
Ni: 0.500 0.000 0.621  -0.02
Ni: 0.000 0.500 0.379  -0.02
P: 0.000 0.000 0.500  -0.02
P: 0.500 0.000 0.863  -0.03
P: 0.000 0.500 0.137  -0.03


N(E_F) of number 2 (Tb3Pm2Sn4)?
13.93 states/eV/cell


Among the records above, which one has the highest magnetic moment?
LuPu4Th


Look up the N(E_F) of the second one.
13.93 states/eV/cell


Which value of N(E_F) does entry 5 give?
2.26 states/eV/cell